#a
Computed, not measured: a relaxed Sr3NiI crystal at the GGA-PBE level of DFT.

Cell: 9.708 4.207 9.952 Å, 90.00 111.28 90.00°
Space group P2_1/m (No. 11)
Asymmetric unit:
Sr (0.058, 0.250, 0.260) x2
Sr (0.291, 0.750, 0.621) x2
Sr (0.304, 0.250, 0.982) x2
Ni (0.041, 0.250, 0.559) x2
I (0.381, 0.750, 0.302) x2

Results
As for the size of the total moment: 0.00 μB per cell.



#b
Computed, not measured: a relaxed Sr3NiI crystal at the GGA-PBE level of DFT.

Cell: 5.876 5.876 5.876 Å, 90.00 90.00 90.00°
Space group Pm-3m (No. 221)
Asymmetric unit:
Sr (0.000, 0.000, 0.500) x3
Ni (0.000, 0.000, 0.000) x1
I (0.500, 0.500, 0.500) x1

Results
As for the size of the total moment: 0.00 μB per cell.



#a takes first place; second place is 174 meV per atom up.



#a
Computed, not measured: a relaxed SrNiI2 crystal at the GGA-PBE level of DFT.

Cell: 4.1758 4.1758 28.2326 Å, 90.00 90.00 120.00°
Space group R-3m (No. 166, hexagonal axes)
Asymmetric unit:
Sr (0.0000, 0.0000, 0.0000) x3
Ni (0.0000, 0.0000, 0.5000) x3
I (0.0000, 0.0000, 0.1152) x6

Results
As for the size of the total moment: 2.92 μB per cell.



#b
Computed, not measured: a relaxed SrNiI2 crystal at the GGA-PBE level of DFT.

Cell: 6.678 6.678 12.739 Å, 90.00 90.00 90.00°
Space group I-42d (No. 122)
Asymmetric unit:
Sr (0.000, 0.000, 0.000) x4
Ni (0.000, 0.000, 0.500) x4
I (0.169, 0.250, 0.625) x8

Results
As for the size of the total moment: 0.00 μB per cell.



#b takes first place; second place is 343 meV per atom up.